Computed, not measured: crystalline Li2MnCo at its relaxed geometry at the PBE level of DFT.

Values from the calculation:
**Formation energy from the elements**: 0.429 eV/atom
**V**: 50 Å³ per cell

a b c (Å): 4.135 4.135 4.135
angles (deg): 60.00 60.00 60.00
Last column: magnetic moment on the atom in μB.
Element x y z (fractional)
1 Li 0.750 0.750 0.750  -0.04
2 Mn 0.000 0.000 0.000  3.62
3 Li 0.250 0.250 0.250  -0.04
4 Co 0.500 0.500 0.500  1.23

=====

Computed, not measured: crystalline Li2MnCo at its relaxed geometry at the PBE level of DFT.

Values from the calculation:
**Formation energy from the elements**: 0.283 eV/atom
**V**: 48 Å³ per cell

a b c (Å): 4.156 4.156 5.021
angles (deg): 86.58 86.58 33.43
Last column: magnetic moment on the atom in μB.
Element x y z (fractional)
1 Li 0.006 0.006 0.009  -0.02
2 Li 0.249 0.249 0.238  -0.02
3 Mn 0.495 0.495 0.548  0.63
4 Co 0.750 0.750 0.705  0.67

=====

Computed, not measured: crystalline Li2MnCo at its relaxed geometry at the PBE level of DFT.

Values from the calculation:
**Formation energy from the elements**: 0.296 eV/atom
**V**: 50 Å³ per cell

a b c (Å): 4.139 4.139 4.139
angles (deg): 120.00 120.00 89.99
Last column: magnetic moment on the atom in μB.
Element x y z (fractional)
1 Mn 0.500 0.500 0.000  3.29
2 Co 0.750 0.250 0.500  0.75
3 Li 0.250 0.750 0.500  -0.02
4 Li 0.000 0.000 0.000  -0.04

=====

Computed, not measured: crystalline Li2MnCo at its relaxed geometry at the PBE level of DFT.

Values from the calculation:
**Formation energy from the elements**: 0.316 eV/atom
**V**: 53 Å³ per cell

a b c (Å): 4.993 4.993 4.993
angles (deg): 147.75 126.36 63.99
Last column: magnetic moment on the atom in μB.
Element x y z (fractional)
1 Co 0.256 0.756 0.500  1.37
2 Li 0.754 0.254 0.500  -0.05
3 Li 0.008 0.008 0.000  -0.04
4 Mn 0.482 0.482 0.000  3.36

=====

Computed, not measured: crystalline Li2MnCo at its relaxed geometry at the PBE level of DFT.

Values from the calculation:
**Formation energy from the elements**: 0.221 eV/atom
**V**: 50 Å³ per cell

a b c (Å): 4.527 2.544 4.387
angles (deg): 85.79 90.00 90.00
Last column: magnetic moment on the atom in μB.
Element x y z (fractional)
1 Li 0.000 0.513 0.510  -0.06
2 Li 0.000 0.987 0.990  -0.06
3 Mn 0.500 0.250 0.250  3.04
4 Co 0.500 0.750 0.750  1.23

=====

Computed, not measured: crystalline Li2MnCo at its relaxed geometry at the PBE level of DFT.

Values from the calculation:
**Formation energy from the elements**: 0.213 eV/atom
**V**: 55 Å³ per cell

a b c (Å): 2.585 2.585 8.881
angles (deg): 90.00 90.00 111.79
Last column: magnetic moment on the atom in μB.
Element x y z (fractional)
1 Li 0.000 0.000 0.974  -0.02
2 Co 0.500 0.500 0.737  1.63
3 Li 0.500 0.500 0.265  -0.02
4 Mn 0.000 0.000 0.524  2.99